{"formula": "Ho12Er7Tm", "functional": "PBE", "state": "optimized geometry", "magnetic_moment_mub_per_atom": 0.0000, "formation_enthalpy_0k_ev_per_atom": 0.34, "sg": "R-3, No. 148", "total_energy_ev_per_atom": -4.232, "de_polymorph_ev_per_atom": 0.029, "lattice_angstrom": [[9.197, 5.310, 2.199], [-9.197, 5.310, 2.199], [0.000, -10.620, 2.199]], "species": ["Ho", "Ho", "Ho", "Ho", "Ho", "Ho", "Ho", "Ho", "Ho", "Ho", "Ho", "Ho", "Er", "Er", "Er", "Er", "Er", "Er", "Er", "Tm"], "fractional_positions": [[0.003, 0.214, 0.426], [0.214, 0.426, 0.003], [0.232, 0.753, 0.295], [0.247, 0.705, 0.768], [0.295, 0.232, 0.753], [0.426, 0.003, 0.214], [0.574, 0.997, 0.786], [0.705, 0.768, 0.247], [0.753, 0.295, 0.232], [0.768, 0.247, 0.705], [0.786, 0.574, 0.997], [0.997, 0.786, 0.574], [0.000, 0.000, 0.000], [0.128, 0.431, 0.293], [0.293, 0.128, 0.431], [0.431, 0.293, 0.128], [0.569, 0.707, 0.872], [0.707, 0.872, 0.569], [0.872, 0.569, 0.707], [0.500, 0.500, 0.500]]}